# LiHo2Hg7

A relaxed structure of LiHo2Hg7 (PBE, Alexandria).

The space group is P3m1 (No. 156) and the conventional cell measures 4.9884, 4.9884 and 11.9024 Å, with angles of 90.00, 90.00 and 120.00 degrees. The inequivalent atoms are Li at (0.0000, 0.0000, 0.0000), Ho at (0.3333, 0.6667, 0.8068), Ho at (0.6667, 0.3333, 0.5975), Hg at (0.0000, 0.0000, 0.4352), Hg at (0.0000, 0.0000, 0.7190), Hg at (0.3333, 0.6667, 0.0577), Hg at (0.3333, 0.6667, 0.2989), Hg at (0.3333, 0.6667, 0.5439), Hg at (0.6667, 0.3333, 0.1994) and Hg at (0.6667, 0.3333, 0.9191).

The energy comes out at -1.54 eV per atom. The formation energy comes out at -0.218 eV/atom. The value obtained for the size of the total moment is 0.00 μB per cell.